Entry A
# BeGaTeN2

A geometry-optimized BeGaTeN2 structure (GGA-PBEsol, Alexandria via LeMat-Bulk).

Lattice parameters (Å, degrees): 3.735 3.735 6.144 90.00 90.00 90.00
Space group P4/mmm (No. 123)
Symmetry-distinct sites (fractional):
Be 0.000 0.000 0.000
Ga 0.500 0.500 0.500
Te 0.500 0.500 0.000
N 0.000 0.500 0.500

Crystal system: tetragonal
Volume: 85.7 Å³/f.u.
Total magnetic moment: 0.43 μB/atom

Entry B
# BeGaTeN2

A geometry-optimized BeGaTeN2 structure (GGA-PBEsol, Alexandria via LeMat-Bulk).

Lattice parameters (Å, degrees): 3.642 3.642 5.298 90.00 90.00 90.00
Space group P4/mmm (No. 123)
Symmetry-distinct sites (fractional):
Be 0.000 0.000 0.000
Ga 0.500 0.500 0.500
Te 0.000 0.000 0.500
N 0.000 0.500 0.000

Crystal system: tetragonal
Volume: 70.3 Å³/f.u.
Total magnetic moment: 0.11 μB/atom

Stability check: which of them is most stable? entry B.

Entry A
# BeGaS2

A geometry-optimized BeGaS2 structure (GGA-PBEsol, Alexandria via LeMat-Bulk).

Lattice parameters (Å, degrees): 3.6506 3.6506 19.5207 90.00 90.00 120.00
Space group R-3m (No. 166, hexagonal axes)
Symmetry-distinct sites (fractional):
Be 0.0000 0.0000 0.0000
Ga 0.0000 0.0000 0.5000
S 0.0000 0.0000 0.0975

Crystal system: trigonal
Volume: 75.1 Å³/f.u.
Total magnetic moment: 0.00 μB/atom

Entry B
# BeGaS2

A geometry-optimized BeGaS2 structure (GGA-PBEsol, Alexandria via LeMat-Bulk).

Lattice parameters (Å, degrees): 5.477 5.477 9.633 90.00 90.00 90.00
Space group I-42d (No. 122)
Symmetry-distinct sites (fractional):
Be 0.000 0.000 0.000
Ga 0.000 0.000 0.500
S 0.189 0.250 0.125

Crystal system: tetragonal
Volume: 72.2 Å³/f.u.
Total magnetic moment: 0.00 μB/atom

Stability check: which of them is most stable? entry B.

Entry A
# BeGeI2

A geometry-optimized BeGeI2 structure (GGA-PBEsol, Alexandria via LeMat-Bulk).

Lattice parameters (Å, degrees): 7.466 7.466 7.221 90.00 90.00 90.00
Space group I-42d (No. 122)
Symmetry-distinct sites (fractional):
Be 0.000 0.000 0.000
Ge 0.000 0.000 0.500
I 0.187 0.750 0.125

Crystal system: tetragonal
Volume: 100.6 Å³/f.u.
Total magnetic moment: 0.00 μB/atom

Entry B
# BeGeI2

A geometry-optimized BeGeI2 structure (GGA-PBEsol, Alexandria via LeMat-Bulk).

Lattice parameters (Å, degrees): 7.222 7.222 7.222 90.00 90.00 90.00
Space group Fm-3m (No. 225)
Symmetry-distinct sites (fractional):
Be 0.000 0.000 0.000
Ge 0.000 0.000 0.500
I 0.250 0.250 0.250

Crystal system: cubic
Volume: 94.2 Å³/f.u.
Total magnetic moment: 0.00 μB/atom

Stability check: which of them is most stable? entry A.

Entry A
# Be3GeMo

A geometry-optimized Be3GeMo structure (GGA-PBEsol, Alexandria via LeMat-Bulk).

Lattice parameters (Å, degrees): 4.054 4.054 4.054 90.00 90.00 90.00
Space group Pm-3m (No. 221)
Symmetry-distinct sites (fractional):
Be 0.000 0.000 0.500
Ge 0.000 0.000 0.000
Mo 0.500 0.500 0.500

Crystal system: cubic
Volume: 66.6 Å³/f.u.
Total magnetic moment: 0.23 μB/atom

Entry B
# Be3GeMo

A geometry-optimized Be3GeMo structure (GGA-PBEsol, Alexandria via LeMat-Bulk).

Lattice parameters (Å, degrees): 4.295 4.295 4.295 90.00 90.00 90.00
Space group Pm-3m (No. 221)
Symmetry-distinct sites (fractional):
Be 0.000 0.000 0.500
Ge 0.500 0.500 0.500
Mo 0.000 0.000 0.000

Crystal system: cubic
Volume: 79.2 Å³/f.u.
Total magnetic moment: 0.00 μB/atom

Stability check: which of them is most stable? entry A.

Entry A
# LiBeH3

A geometry-optimized LiBeH3 structure (GGA-PBEsol, Alexandria via LeMat-Bulk).

Lattice parameters (Å, degrees): 5.981 6.095 13.076 90.00 97.69 90.00
Space group P2_1/c (No. 14)
Symmetry-distinct sites (fractional):
Li 0.012 0.115 0.253
Li 0.235 0.617 0.593
Li 0.253 0.127 0.602
Be 0.226 0.170 0.908
Be 0.229 0.597 0.913
Be 0.433 0.614 0.314
H 0.026 0.648 0.847
H 0.027 0.124 0.840
H 0.195 0.134 0.011
H 0.222 0.624 0.020
H 0.290 0.615 0.217
H 0.301 0.115 0.383
H 0.329 0.117 0.195
H 0.427 0.700 0.883
H 0.431 0.070 0.884

Crystal system: monoclinic
Volume: 39.4 Å³/f.u.
Total magnetic moment: 0.00 μB/atom

Entry B
# LiBeH3

A geometry-optimized LiBeH3 structure (GGA-PBEsol, Alexandria via LeMat-Bulk).

Lattice parameters (Å, degrees): 4.663 5.934 6.473 96.73 101.19 105.43
Space group P-1 (No. 2)
Symmetry-distinct sites (fractional):
Li 0.065 0.295 0.161
Li 0.291 0.330 0.697
Be 0.247 0.811 0.245
Be 0.409 0.792 0.626
H 0.030 0.163 0.874
H 0.172 0.805 0.450
H 0.247 0.630 0.738
H 0.303 0.601 0.155
H 0.329 0.266 0.414
H 0.474 0.017 0.768

Crystal system: triclinic
Volume: 41.7 Å³/f.u.
Total magnetic moment: 0.00 μB/atom

Stability check: which of them is most stable? entry A.

Entry A
# LiBeH3

A geometry-optimized LiBeH3 structure (GGA-PBEsol, Alexandria via LeMat-Bulk).

Lattice parameters (Å, degrees): 8.600 7.929 4.647 90.00 109.01 90.00
Space group C2/c (No. 15)
Symmetry-distinct sites (fractional):
Li 0.000 0.099 0.250
Li 0.000 0.291 0.750
Be 0.216 0.413 0.240
H 0.111 0.094 0.660
H 0.139 0.254 0.158
H 0.142 0.486 0.459

Crystal system: monoclinic
Volume: 37.4 Å³/f.u.
Total magnetic moment: 0.00 μB/atom

Entry B
# LiBeH3

A geometry-optimized LiBeH3 structure (GGA-PBEsol, Alexandria via LeMat-Bulk).

Lattice parameters (Å, degrees): 10.056 5.791 8.262 90.00 90.00 90.00
Space group Cmcm (No. 63)
Symmetry-distinct sites (fractional):
Li 0.000 0.000 0.000
Li 0.171 0.500 0.000
Be 0.000 0.421 0.250
Be 0.122 0.213 0.750
H 0.000 0.086 0.750
H 0.000 0.309 0.097
H 0.124 0.459 0.750
H 0.179 0.155 0.599

Crystal system: orthorhombic
Volume: 40.1 Å³/f.u.
Total magnetic moment: 0.00 μB/atom

Stability check: which of them is most stable? entry B.

Entry A
# BeHN2

A geometry-optimized BeHN2 structure (GGA-PBEsol, Alexandria via LeMat-Bulk).

Lattice parameters (Å, degrees): 3.104 3.104 9.730 90.00 90.00 90.00
Space group I-42d (No. 122)
Symmetry-distinct sites (fractional):
Be 0.000 0.000 0.000
H 0.000 0.000 0.500
N 0.216 0.250 0.625

Crystal system: tetragonal
Volume: 23.4 Å³/f.u.
Total magnetic moment: 0.00 μB/atom

Entry B
# BeHN2

A geometry-optimized BeHN2 structure (GGA-PBEsol, Alexandria via LeMat-Bulk).

Lattice parameters (Å, degrees): 2.7392 2.7392 12.5788 90.00 90.00 120.00
Space group R-3m (No. 166, hexagonal axes)
Symmetry-distinct sites (fractional):
Be 0.0000 0.0000 0.0000
H 0.0000 0.0000 0.5000
N 0.0000 0.0000 0.4017

Crystal system: trigonal
Volume: 27.2 Å³/f.u.
Total magnetic moment: 0.00 μB/atom

Stability check: which of them is most stable? entry B.

Entry A
# BeSnH3

A geometry-optimized BeSnH3 structure (GGA-PBEsol, Alexandria via LeMat-Bulk).

Lattice parameters (Å, degrees): 3.543 3.543 3.543 90.00 90.00 90.00
Space group Pm-3m (No. 221)
Symmetry-distinct sites (fractional):
Be 0.000 0.000 0.000
Sn 0.500 0.500 0.500
H 0.000 0.000 0.500

Crystal system: cubic
Volume: 44.5 Å³/f.u.
Total magnetic moment: 0.00 μB/atom

Entry B
# BeSnH3

A geometry-optimized BeSnH3 structure (GGA-PBEsol, Alexandria via LeMat-Bulk).

Lattice parameters (Å, degrees): 3.953 3.953 3.953 90.00 90.00 90.00
Space group Pm-3m (No. 221)
Symmetry-distinct sites (fractional):
Be 0.000 0.000 0.000
Sn 0.500 0.500 0.500
H 0.000 0.500 0.500

Crystal system: cubic
Volume: 61.8 Å³/f.u.
Total magnetic moment: 0.00 μB/atom

Stability check: which of them is most stable? entry A.

Entry A
# BeZnH2

A geometry-optimized BeZnH2 structure (GGA-PBEsol, Alexandria via LeMat-Bulk).

Lattice parameters (Å, degrees): 6.761 6.761 6.761 90.00 90.00 90.00
Space group Fd-3m (No. 227, origin choice 2)
Symmetry-distinct sites (fractional):
Be 0.125 0.125 0.125
Zn 0.125 0.125 0.625
H 0.000 0.000 0.000

Crystal system: cubic
Volume: 38.6 Å³/f.u.
Total magnetic moment: 0.00 μB/atom

Entry B
# BeZnH2

A geometry-optimized BeZnH2 structure (GGA-PBEsol, Alexandria via LeMat-Bulk).

Lattice parameters (Å, degrees): 4.944 4.944 4.944 90.00 90.00 90.00
Space group Fm-3m (No. 225)
Symmetry-distinct sites (fractional):
Be 0.000 0.000 0.000
Zn 0.000 0.000 0.500
H 0.250 0.250 0.250

Crystal system: cubic
Volume: 30.2 Å³/f.u.
Total magnetic moment: 0.00 μB/atom

Stability check: which of them is most stable? entry A.

Entry A
# HfBePt2

A geometry-optimized HfBePt2 structure (GGA-PBEsol, Alexandria via LeMat-Bulk).

Lattice parameters (Å, degrees): 4.621 4.621 13.696 90.00 90.00 90.00
Space group I-42d (No. 122)
Symmetry-distinct sites (fractional):
Hf 0.000 0.000 0.000
Be 0.000 0.000 0.500
Pt 0.153 0.250 0.625

Crystal system: tetragonal
Volume: 73.1 Å³/f.u.
Total magnetic moment: 0.00 μB/atom

Entry B
# HfBePt2

A geometry-optimized HfBePt2 structure (GGA-PBEsol, Alexandria via LeMat-Bulk).

Lattice parameters (Å, degrees): 6.232 6.232 6.232 90.00 90.00 90.00
Space group Fm-3m (No. 225)
Symmetry-distinct sites (fractional):
Hf 0.000 0.000 0.000
Be 0.000 0.000 0.500
Pt 0.250 0.250 0.250

Crystal system: cubic
Volume: 60.5 Å³/f.u.
Total magnetic moment: 0.00 μB/atom

Stability check: which of them is most stable? entry B.

Entry A
# Hf2Be2Zn

A geometry-optimized Hf2Be2Zn structure (GGA-PBEsol, Alexandria via LeMat-Bulk).

Lattice parameters (Å, degrees): 6.116 6.116 3.875 90.00 90.00 90.00
Space group P4/mbm (No. 127)
Symmetry-distinct sites (fractional):
Hf 0.172 0.328 0.000
Be 0.126 0.626 0.500
Zn 0.000 0.000 0.500

Crystal system: tetragonal
Volume: 72.5 Å³/f.u.
Total magnetic moment: 0.00 μB/atom

Entry B
# Hf2Be2Zn

A geometry-optimized Hf2Be2Zn structure (GGA-PBEsol, Alexandria via LeMat-Bulk).

Lattice parameters (Å, degrees): 4.070 4.070 10.028 90.00 90.00 90.00
Space group I4/mmm (No. 139)
Symmetry-distinct sites (fractional):
Hf 0.000 0.500 0.250
Be 0.000 0.000 0.096
Zn 0.000 0.000 0.500

Crystal system: tetragonal
Volume: 83.0 Å³/f.u.
Total magnetic moment: 0.00 μB/atom

Stability check: which of them is most stable? entry A.